## Zn2Cu2P (PBE-GGA)

Data for crystalline Zn2Cu2P at its relaxed geometry.

Values from the calculation:
total moment = 0.0 μB/cell
calculated volume = 14.134 Å³/atom
ΔE to the lowest computed polymorph = 0.00 kJ/mol of atoms
formation energy from the elements = 3.93 kcal/mol of atoms

a b c (Å): 7.190 7.190 2.734
angles (deg): 90.00 90.00 90.00
Element x y z (fractional)
Zn  0.327  0.173  0.500
Zn  0.673  0.827  0.500
Zn  0.173  0.673  0.500
Zn  0.827  0.327  0.500
Cu  0.876  0.624  0.000
Cu  0.376  0.876  0.000
Cu  0.624  0.124  0.000
Cu  0.124  0.376  0.000
P  0.000  0.000  0.000
P  0.500  0.500  0.000